Here is a relaxed LaCr2PO crystal from Alexandria via LeMat-Bulk. Energies are from PBE with a Hubbard U.

Cell: 6.3119 6.3119 5.2510 Å, 90.00 90.00 90.00°
With the nearest neighbours (Å) after each atom.
Sites, in units of the cell vectors:
La 0.0000 0.0000 0.0000  2 P 2.63
Cr 0.0000 0.5000 0.0000  2 La 3.16
Cr 0.5000 0.0000 0.0000  2 La 3.16
P 0.0000 0.0000 0.5000  2 La 2.63
O 0.5000 0.5000 0.5000  8 Cr 4.11, 4 P 4.46

## Properties
* size of the total moment: 9.298 μB/f.u.
* E: -22.52 eV/cell